[1]
## Nd4Ho3Tm8 (PBE)

Data for a relaxed structure of Nd4Ho3Tm8.

* E_form: 0.122 eV/atom
* ΔE to the lowest computed polymorph: 0 kJ/mol of formula units
* Fermi-level density of states: 21.670 states/eV/f.u.
* total energy: -4.45 eV per atom
* total magnetic moment: 0.000 μB per atom

Lattice parameters (Å, degrees): 12.403 12.403 12.403 32.34 32.34 32.34
Sites, in units of the cell vectors:
Nd 0.000 0.000 0.000
Nd 0.163 0.163 0.163
Nd 0.500 0.500 0.500
Nd 0.837 0.837 0.837
Ho 0.000 0.500 0.500
Ho 0.500 0.000 0.500
Ho 0.500 0.500 0.000
Tm 0.250 0.250 0.747
Tm 0.250 0.747 0.250
Tm 0.253 0.750 0.750
Tm 0.256 0.256 0.256
Tm 0.744 0.744 0.744
Tm 0.747 0.250 0.250
Tm 0.750 0.253 0.750
Tm 0.750 0.750 0.253

***

[2]
## NdHo5Tm3 (PBE)

Data for a relaxed structure of NdHo5Tm3.

* E_form: 0.314 eV/atom
* ΔE to the lowest computed polymorph: 0 kJ/mol of formula units
* Fermi-level density of states: 11.556 states/eV/f.u.
* total energy: -4.25 eV per atom
* total magnetic moment: 0.000 μB per atom

Lattice parameters (Å, degrees): 9.626 9.626 11.212 111.26 111.26 38.10
Sites, in units of the cell vectors:
Nd 0.137 0.863 0.750
Nd 0.863 0.137 0.250
Ho 0.007 0.652 0.129
Ho 0.120 0.540 0.790
Ho 0.348 0.993 0.371
Ho 0.392 0.608 0.250
Ho 0.460 0.880 0.710
Ho 0.540 0.120 0.290
Ho 0.608 0.392 0.750
Ho 0.652 0.007 0.629
Ho 0.880 0.460 0.210
Ho 0.993 0.348 0.871
Tm 0.000 0.000 0.000
Tm 0.000 0.000 0.500
Tm 0.145 0.531 0.486
Tm 0.469 0.855 0.014
Tm 0.531 0.145 0.986
Tm 0.855 0.469 0.514